An optimized crystal structure of In2PH, computed with PBE.

Unit cell a=7.752 b=7.752 c=7.752 alpha=143.45 beta=143.45 gamma=52.65
Positions (direct):
In  0.055  0.625  0.930
In  0.375  0.305  0.430
In  0.695  0.125  0.070
In  0.875  0.945  0.570
P  0.250  0.750  0.500
P  0.500  0.500  0.000
H  0.000  0.000  0.000
H  0.750  0.250  0.500

Computed properties:
The value obtained for the density of states at the Fermi level is 0.07 states/eV/atom. As for the energy above the most stable polymorph in this dataset: 0 meV per atom. Its space group is No. 122.



An optimized crystal structure of CePaSO2, computed with PBE.

Unit cell a=6.669 b=6.669 c=6.669 alpha=146.76 beta=146.76 gamma=47.72
Positions (direct):
Ce  0.000  0.000  0.000
Pa  0.280  0.280  0.000
S  0.644  0.644  0.000
O  0.383  0.883  0.500
O  0.883  0.383  0.500

Computed properties:
The value obtained for the density of states at the Fermi level is 2.01 states/eV/atom. The calculation puts the formation energy from raw total energies at -62.5 kcal/mol of atoms. Its space group is No. 107.



An optimized crystal structure of CsBaSr2As, computed with PBE.

Unit cell a=6.322 b=6.322 c=6.669 alpha=90.00 beta=90.00 gamma=90.00
Positions (direct):
Cs  0.000  0.000  0.000
Ba  0.500  0.500  0.000
Sr  0.000  0.500  0.500
Sr  0.500  0.000  0.500
As  0.500  0.500  0.500

Computed properties:
The value obtained for the density of states at the Fermi level is 0.85 states/eV/atom. Its space group is No. 123. The calculation puts the calculated formation energy at -0.397 eV per atom.



An optimized crystal structure of LiTmCO4, computed with PBE.

Unit cell a=5.763 b=5.763 c=5.763 alpha=125.04 beta=105.97 gamma=98.66
Positions (direct):
Li  0.500  0.000  0.000
Li  0.500  0.500  0.500
Tm  0.000  0.000  0.000
Tm  0.500  0.000  0.500
C  0.135  0.385  0.750
C  0.865  0.615  0.250
O  0.123  0.706  0.417
O  0.210  0.294  0.917
O  0.263  0.284  0.521
O  0.263  0.742  0.979
O  0.737  0.258  0.021
O  0.737  0.716  0.479
O  0.790  0.706  0.083
O  0.877  0.294  0.583

Computed properties:
The value obtained for the density of states at the Fermi level is 0.00 states/eV/atom. The calculation puts the formation energy from raw total energies at -44.7 kcal/mol of atoms. Its space group is No. 74.



An optimized crystal structure of Rb4Hg5Pt2, computed with PBE.

Unit cell a=7.773 b=5.277 c=9.532 alpha=90.00 beta=90.34 gamma=90.00
Positions (direct):
Rb  0.207  0.000  0.150
Rb  0.234  0.000  0.599
Rb  0.766  0.000  0.401
Rb  0.793  0.000  0.850
Hg  0.144  0.500  0.871
Hg  0.402  0.500  0.354
Hg  0.500  0.500  0.000
Hg  0.598  0.500  0.646
Hg  0.856  0.500  0.129
Pt  0.044  0.500  0.370
Pt  0.956  0.500  0.630

Computed properties:
The value obtained for the density of states at the Fermi level is 0.25 states/eV/atom. Its space group is No. 10. The calculation puts the calculated formation energy at -0.178 eV per atom.



An optimized crystal structure of LiY2Be3Pt4, computed with PBE.

Unit cell a=4.001 b=4.001 c=9.847 alpha=90.00 beta=90.00 gamma=90.00
Positions (direct):
Li  0.000  0.000  0.000
Y  0.000  0.500  0.747
Y  0.500  0.000  0.253
Be  0.000  0.500  0.378
Be  0.500  0.000  0.622
Be  0.500  0.500  0.000
Pt  0.000  0.000  0.500
Pt  0.000  0.500  0.142
Pt  0.500  0.000  0.858
Pt  0.500  0.500  0.500

Computed properties:
The value obtained for the density of states at the Fermi level is 0.58 states/eV/atom. Its space group is No. 115. The calculation puts the calculated formation energy at -0.886 eV per atom.



An optimized crystal structure of LaTa2Cl, computed with PBE.

Unit cell a=3.922 b=3.922 c=6.082 alpha=90.00 beta=90.00 gamma=90.00
Positions (direct):
La  0.000  0.000  0.000
Ta  0.000  0.500  0.500
Ta  0.500  0.000  0.500
Cl  0.500  0.500  0.000

Computed properties:
The value obtained for the density of states at the Fermi level is 1.36 states/eV/atom. The calculation puts the formation energy from raw total energies at 6.4 kcal/mol of atoms. As for the energy above the most stable polymorph in this dataset: 475 meV per atom. Its space group is No. 123.



An optimized crystal structure of K2HgSb, computed with PBE.

Unit cell a=12.022 b=12.022 c=12.022 alpha=154.98 beta=154.98 gamma=35.68
Positions (direct):
K  0.120  0.625  0.995
K  0.375  0.370  0.495
K  0.630  0.125  0.005
K  0.875  0.880  0.505
Hg  0.000  0.000  0.000
Hg  0.750  0.250  0.500
Sb  0.250  0.750  0.500
Sb  0.500  0.500  0.000

Computed properties:
The value obtained for the density of states at the Fermi level is 0.39 states/eV/atom. The calculation puts the formation energy from raw total energies at -0.4 kcal/mol of atoms. As for the energy above the most stable polymorph in this dataset: 319 meV per atom. Its space group is No. 122.



An optimized crystal structure of In2Co2As, computed with PBE.

Unit cell a=6.341 b=6.341 c=4.065 alpha=90.00 beta=90.00 gamma=90.00
Positions (direct):
In  0.158  0.342  0.000
In  0.342  0.842  0.000
In  0.658  0.158  0.000
In  0.842  0.658  0.000
Co  0.155  0.655  0.500
Co  0.345  0.155  0.500
Co  0.655  0.845  0.500
Co  0.845  0.345  0.500
As  0.000  0.000  0.500
As  0.500  0.500  0.500

Computed properties:
The value obtained for the density of states at the Fermi level is 0.82 states/eV/atom. Its space group is No. 127. The calculation puts the calculated formation energy at 0.111 eV per atom.



An optimized crystal structure of Pu2MnBe, computed with PBE.

Unit cell a=4.157 b=4.157 c=4.044 alpha=90.00 beta=90.00 gamma=90.00
Positions (direct):
Pu  0.000  0.500  0.000
Pu  0.500  0.000  0.000
Mn  0.000  0.000  0.500
Be  0.500  0.500  0.500

Computed properties:
The value obtained for the density of states at the Fermi level is 1.77 states/eV/atom. As for the energy above the most stable polymorph in this dataset: 0 meV per atom. Its space group is No. 123. The calculation puts the calculated formation energy at 0.166 eV per atom.



An optimized crystal structure of Rb2AlCdI6, computed with PBE.

Unit cell a=8.376 b=8.376 c=8.376 alpha=120.14 beta=120.14 gamma=89.76
Positions (direct):
Rb  0.250  0.750  0.500
Rb  0.750  0.250  0.500
Al  0.000  0.000  0.000
Cd  0.500  0.500  0.000
I  0.240  0.240  0.000
I  0.240  0.240  0.480
I  0.240  0.760  0.000
I  0.760  0.240  0.000
I  0.760  0.760  0.000
I  0.760  0.760  0.520

Computed properties:
The value obtained for the density of states at the Fermi level is 0.16 states/eV/atom. The calculation puts the formation energy from raw total energies at -20.0 kcal/mol of atoms. Its space group is No. 139.



An optimized crystal structure of MgTl2S2, computed with PBE.

Unit cell a=7.141 b=7.141 c=4.918 alpha=90.00 beta=90.00 gamma=90.00
Positions (direct):
Mg  0.000  0.000  0.000
Mg  0.500  0.500  0.000
Tl  0.153  0.347  0.500
Tl  0.347  0.847  0.500
Tl  0.653  0.153  0.500
Tl  0.847  0.653  0.500
S  0.183  0.683  0.000
S  0.317  0.183  0.000
S  0.683  0.817  0.000
S  0.817  0.317  0.000

Computed properties:
The value obtained for the density of states at the Fermi level is 0.17 states/eV/atom. The calculation puts the formation energy from raw total energies at -9.0 kcal/mol of atoms. As for the energy above the most stable polymorph in this dataset: 323 meV per atom. Its space group is No. 127.



no.,spin magnetization (μB per atom)
1,0.00
2,0.57
3,0.00
4,0.00
5,0.00
6,0.00
7,0.00
8,0.00
9,0.13
10,1.86
11,0.00
12,0.00